Entry 1
## MgCdAs (PBE-GGA)

Data for crystalline MgCdAs at its relaxed geometry.

crystal system = trigonal

a = 4.2682 Å, b = 4.2682 Å, c = 4.4230 Å
α = 90.00°, β = 90.00°, γ = 120.00°
Last column: nearest neighbours and their distance in Å.
Sites, in units of the cell vectors:
1 Mg 0.0000 0.0000 0.0000  3 As 2.68
2 Cd 0.3333 0.6667 0.5633  3 As 2.85, 3 Mg 3.13
3 As 0.6667 0.3333 0.2386  3 Mg 2.68, 3 Cd 2.85

=====

Entry 2
## MgCdAs (PBE-GGA)

Data for crystalline MgCdAs at its relaxed geometry.

crystal system = trigonal

a = 3.5273 Å, b = 3.5273 Å, c = 6.1964 Å
α = 90.00°, β = 90.00°, γ = 120.00°
Last column: nearest neighbours and their distance in Å.
Sites, in units of the cell vectors:
1 Mg 0.0000 0.0000 0.0000  3 As 2.76, 3 Cd 3.06
2 Cd 0.3333 0.6667 0.6323  3 As 2.89, 3 Mg 3.06
3 As 0.6667 0.3333 0.3006  3 Mg 2.76, 3 Cd 2.89

=====

Most stable of them? entry 1.

=====

Entry 1
## Mg3CdAs (PBE-GGA)

Data for crystalline Mg3CdAs at its relaxed geometry.

crystal system = cubic

a = 5.0634 Å, b = 5.0634 Å, c = 5.0634 Å
α = 90.00°, β = 90.00°, γ = 90.00°
Last column: nearest neighbours and their distance in Å.
Sites, in units of the cell vectors:
1 Mg 0.0000 0.0000 0.5000  2 As 2.53
2 Mg 0.0000 0.5000 0.0000  2 As 2.53
3 Mg 0.5000 0.0000 0.0000  2 As 2.53
4 Cd 0.5000 0.5000 0.5000  12 Mg 3.58
5 As 0.0000 0.0000 0.0000  6 Mg 2.53

=====

Entry 2
## Mg3CdAs (PBE-GGA)

Data for crystalline Mg3CdAs at its relaxed geometry.

crystal system = cubic

a = 5.1485 Å, b = 5.1485 Å, c = 5.1485 Å
α = 90.00°, β = 90.00°, γ = 90.00°
Last column: nearest neighbours and their distance in Å.
Sites, in units of the cell vectors:
1 Mg 0.0000 0.0000 0.5000  2 Cd 2.57
2 Mg 0.0000 0.5000 0.0000  2 Cd 2.57
3 Mg 0.5000 0.0000 0.0000  2 Cd 2.57
4 Cd 0.0000 0.0000 0.0000  6 Mg 2.57
5 As 0.5000 0.5000 0.5000  12 Mg 3.64

=====

Most stable of them? entry 1.